Record 1
Material: AcHfZr
Method: DFT, PBE-GGA
State: relaxed

Unit cell a=7.3356 b=7.3356 c=7.3356 alpha=90.00 beta=90.00 gamma=90.00
Space group F-43m (No. 216)
Asymmetric unit:
Ac (0.0000, 0.0000, 0.0000) (multiplicity 4)
Hf (0.2500, 0.2500, 0.2500) (multiplicity 4)
Zr (0.0000, 0.0000, 0.5000) (multiplicity 4)

Polymorph energy (0 for the lowest one): 0.0000 eV per atom
V: 98.69 Å³/f.u.
ΔE_f: 0.9126 eV/atom


Record 2
Material: RbNbSO2
Method: DFT, PBE-GGA
State: relaxed

Unit cell a=4.8197 b=6.0862 c=6.1815 alpha=90.00 beta=90.00 gamma=90.00
Space group Amm2 (No. 38)
Asymmetric unit:
Rb (0.0000, 0.0000, 0.0000) (multiplicity 2)
Nb (0.5000, 0.0000, 0.5600) (multiplicity 2)
S (0.0000, 0.0000, 0.4842) (multiplicity 2)
O (0.5000, 0.2328, 0.7488) (multiplicity 4)

Raw total energy: -6.824 eV/atom
V: 90.66 Å³/f.u.


Record 3
Material: GdTlAsO
Method: DFT, PBE-GGA
State: relaxed

Unit cell a=4.8810 b=4.8810 c=7.2939 alpha=90.00 beta=90.00 gamma=90.00
Space group P4/nmm (No. 129, origin choice 2)
Asymmetric unit:
Gd (0.2500, 0.7500, 0.0000) (multiplicity 2)
Tl (0.2500, 0.2500, 0.4193) (multiplicity 2)
As (0.2500, 0.2500, 0.8062) (multiplicity 2)
O (0.2500, 0.7500, 0.5000) (multiplicity 2)

Polymorph energy (0 for the lowest one): 0.9480 eV per atom
V: 86.88 Å³/f.u.


What did the third record say?
Material: GdTlAsO
Method: DFT, PBE-GGA
State: relaxed

Unit cell a=4.8810 b=4.8810 c=7.2939 alpha=90.00 beta=90.00 gamma=90.00
Space group P4/nmm (No. 129, origin choice 2)
Asymmetric unit:
Gd (0.2500, 0.7500, 0.0000) (multiplicity 2)
Tl (0.2500, 0.2500, 0.4193) (multiplicity 2)
As (0.2500, 0.2500, 0.8062) (multiplicity 2)
O (0.2500, 0.7500, 0.5000) (multiplicity 2)

Polymorph energy (0 for the lowest one): 0.9480 eV per atom
V: 86.88 Å³/f.u.


Please write out number 2 again, unchanged.
Material: RbNbSO2
Method: DFT, PBE-GGA
State: relaxed

Unit cell a=4.8197 b=6.0862 c=6.1815 alpha=90.00 beta=90.00 gamma=90.00
Space group Amm2 (No. 38)
Asymmetric unit:
Rb (0.0000, 0.0000, 0.0000) (multiplicity 2)
Nb (0.5000, 0.0000, 0.5600) (multiplicity 2)
S (0.0000, 0.0000, 0.4842) (multiplicity 2)
O (0.5000, 0.2328, 0.7488) (multiplicity 4)

Raw total energy: -6.824 eV/atom
V: 90.66 Å³/f.u.